The following is a DFT calculation (PBE-GGA) of a relaxed NiPbAu2 crystal.

Computed properties:
Calculated formation energy   0.11 eV per atom
Spin magnetization   0.00 Bohr magnetons per cell

a b c (Å): 3.202 3.202 7.505
angles (deg): 90.00 90.00 90.00
Space group P4/mmm (No. 123)
Unique sites:
1 Ni 0.000 0.000 0.000
2 Pb 0.000 0.000 0.500
3 Au 0.500 0.500 0.194